## SrFeI (PBE)

Data for a geometry-optimized SrFeI structure.

Cell and atoms, written as extended XYZ:
```
18
Lattice="4.329 0.000 0.000 -2.164 3.749 0.000 0.000 0.000 31.178" Properties=species:S:1:pos:R:3 pbc="T T T"
I 0.000 0.000 24.146
I 0.000 2.499 13.753
I 2.164 1.250 3.361
I 0.000 0.000 19.740
I 0.000 2.499 9.347
I 2.164 1.250 30.132
Sr 0.000 0.000 16.394
Sr 0.000 2.499 6.001
Sr 2.164 1.250 26.786
Sr 0.000 0.000 11.395
Sr 0.000 2.499 1.003
Sr 2.164 1.250 21.788
Fe 0.000 0.000 8.014
Fe 0.000 2.499 28.800
Fe 2.164 1.250 18.407
Fe 0.000 0.000 29.226
Fe 0.000 2.499 18.834
Fe 2.164 1.250 8.441
```

DFT total energy in eV for the cell shown: -74.92
Space group: R3m, No. 160
Raw formation energy in eV/f.u.: -0.79
Calculated volume in Å³ per cell: 506
Total moment in μB/f.u.: 1.98

=====

## VNi2AsPd (PBE)

Data for a geometry-optimized VNi2AsPd structure.

Cell and atoms, written as extended XYZ:
```
5
Lattice="4.299 0.000 0.000 0.000 4.643 0.000 0.000 0.000 4.299" Properties=species:S:1:pos:R:3 pbc="T T T"
Ni 0.000 0.000 2.150
Ni 2.150 0.000 0.000
As 2.150 2.321 2.150
Pd 0.000 2.321 0.000
V 0.000 0.000 0.000
```

DFT total energy in eV for the cell shown: -25.80
Space group: P4/mmm, No. 123
Calculated volume in Å³ per cell: 86
Total moment in μB/f.u.: 0.00